Here is Sr2OsBr after structural relaxation from Alexandria via LeMat-Bulk. Energies are from GGA-PBE.

a = 5.3649 Å, b = 5.3649 Å, c = 5.3649 Å
α = 60.00°, β = 60.00°, γ = 60.00°
Positions (direct):
Sr  0.2500  0.2500  0.2500
Os  0.5000  0.5000  0.5000
Br  0.0000  0.0000  0.0000
Sr  0.7500  0.7500  0.7500

Properties
* DOS at the Fermi energy: 3.44 states/eV/f.u.
* crystal system: cubic
* ΔE to the lowest computed polymorph: 125 kJ/mol of formula units
* formation energy without anion corrections: 26 kJ/mol of formula units
* SG: Fm-3m